First-principles (PBE) data for a relaxed structure of SrMg2TeBr, as listed in the Alexandria database.

## Properties
mass density: 2.9 g/cm³
calculated total energy: -2.15 eV per atom

Lattice parameters (Å, degrees): 5.1016 7.5001 5.1016 90.00 90.00 90.00
Fractional positions:
Br1 0.0000 0.0000 0.0000
Te1 0.0000 0.5000 0.0000
Mg1 0.5000 0.0000 0.0000
Mg2 0.0000 0.0000 0.5000
Sr1 0.5000 0.5000 0.5000

First-principles (PBE) data for a relaxed structure of SrMgTl2Br6, as listed in the Alexandria database.

## Properties
mass density: 4.7 g/cm³
calculated total energy: -3.20 eV per atom

Lattice parameters (Å, degrees): 7.9002 7.8997 7.9622 60.25 60.24 59.98
Fractional positions:
Br1 0.4710 0.6399 0.7881
Br2 0.1008 0.4710 0.7883
Br3 0.5638 0.1678 0.2639
Br4 0.6400 0.1005 0.7885
Br5 0.1676 0.0045 0.2639
Br6 0.0045 0.5641 0.2637
Sr1 0.8184 0.8185 0.5446
Tl1 0.5377 0.5376 0.3873
Tl2 0.0376 0.0378 0.8871
Mg1 0.3201 0.3200 0.0398

First-principles (PBE) data for a relaxed structure of SrYMg2Br, as listed in the Alexandria database.

## Properties
mass density: 1.9 g/cm³
calculated total energy: -1.75 eV per atom

Lattice parameters (Å, degrees): 6.4061 6.6410 6.4061 90.00 90.00 90.00
Fractional positions:
Y1 0.0000 0.5000 0.0000
Sr1 0.0000 0.0000 0.0000
Mg1 0.5000 0.0000 0.0000
Mg2 0.0000 0.0000 0.5000
Br1 0.5000 0.5000 0.5000

First-principles (PBE) data for a relaxed structure of Mg2TaBr, as listed in the Alexandria database.

## Properties
excess energy over the best structure of this formula in the dataset: 0.720 eV per atom
mass density: 5.9 g/cm³

Lattice parameters (Å, degrees): 7.7230 7.7230 6.1984 51.47 51.47 90.00
Fractional positions:
Mg1 0.3750 0.3984 0.7500
Mg2 0.8750 0.8516 0.7500
Mg3 0.1484 0.6250 0.2500
Mg4 0.6016 0.1250 0.2500
Ta1 0.7500 0.2500 0.5000
Ta2 0.0000 0.0000 0.0000
Br1 0.2500 0.7500 0.5000
Br2 0.5000 0.5000 0.0000

First-principles (PBE) data for a relaxed structure of MgTa2Br, as listed in the Alexandria database.

## Properties
excess energy over the best structure of this formula in the dataset: 0.427 eV per atom
mass density: 9.6 g/cm³

Lattice parameters (Å, degrees): 5.8399 5.8399 5.8399 149.05 127.07 62.59
Fractional positions:
Ta1 0.0262 0.0262 0.0000
Ta2 0.2501 0.7501 0.5000
Br1 0.4741 0.4741 0.0000
Mg1 0.7496 0.2496 0.5000

First-principles (PBE) data for a relaxed structure of Mg2TaBr, as listed in the Alexandria database.

## Properties
excess energy over the best structure of this formula in the dataset: 0.000 eV per atom
mass density: 6.2 g/cm³

Lattice parameters (Å, degrees): 9.1595 9.1595 9.1595 20.56 20.56 20.56
Fractional positions:
Ta1 0.2500 0.2500 0.2500
Mg1 0.0026 0.0026 0.0026
Mg2 0.4974 0.4974 0.4974
Br1 0.7500 0.7500 0.7500

First-principles (PBE) data for a relaxed structure of Mg2TaBr, as listed in the Alexandria database.

## Properties
excess energy over the best structure of this formula in the dataset: 0.322 eV per atom
mass density: 6.2 g/cm³

Lattice parameters (Å, degrees): 5.4183 5.4183 3.0659 90.00 90.00 112.86
Fractional positions:
Mg1 0.0000 0.0000 0.0000
Mg2 0.5000 0.5000 0.0000
Ta1 0.5000 0.0000 0.5000
Br1 0.0000 0.5000 0.5000

First-principles (PBE) data for a relaxed structure of Mg2TaBr, as listed in the Alexandria database.

## Properties
excess energy over the best structure of this formula in the dataset: 0.778 eV per atom
mass density: 6.1 g/cm³

Lattice parameters (Å, degrees): 4.9114 4.9114 4.9114 60.00 60.00 60.00
Fractional positions:
Ta1 0.2500 0.2500 0.2500
Mg1 0.7500 0.7500 0.7500
Mg2 0.0000 0.0000 0.0000
Br1 0.5000 0.5000 0.5000

Q: Look up the mass density of the fourth one.
A: 5.9 g/cm³

Q: Which of these has the highest mass density?
A: MgTa2Br

Q: Look up the mass density of the second one.
A: 4.7 g/cm³

Q: Which formula does entry 7 have?
A: Mg2TaBr